1.
The following is a DFT calculation (PBE) of crystalline La2ReOs at its relaxed geometry. Values from VASP.

ΔE to the lowest computed polymorph, eV/atom: 0.6704
Formation energy, eV/atom: 0.68
SG: R3m (160)
Total DFT energy (no corrections), eV per atom: -7.71

Quantum ESPRESSO input file:
```
&SYSTEM
  ibrav = 0, nat = 4, ntyp = 3
/
ATOMIC_SPECIES
Os 190.23 Os.upf
La 138.91 La.upf
Re 186.21 Re.upf
CELL_PARAMETERS angstrom
10.865 -0.073 -0.043
10.454 2.963 -0.043
10.454 1.417 2.602
ATOMIC_POSITIONS crystal
Os 0.488 0.488 0.488
La 0.237 0.237 0.237
La 0.012 0.012 0.012
Re 0.762 0.762 0.762
```



2.
The following is a DFT calculation (PBE) of crystalline La2ReOs at its relaxed geometry. Values from VASP.

ΔE to the lowest computed polymorph, eV/atom: 0.5885
Formation energy, eV/atom: 0.59
SG: Pmmm (47)
Total DFT energy (no corrections), eV per atom: -7.79

Quantum ESPRESSO input file:
```
&SYSTEM
  ibrav = 0, nat = 4, ntyp = 3
/
ATOMIC_SPECIES
Os 190.23 Os.upf
La 138.91 La.upf
Re 186.21 Re.upf
CELL_PARAMETERS angstrom
-3.138 -1.222 -0.049
0.961 -2.642 4.368
-1.495 3.736 2.588
ATOMIC_POSITIONS crystal
Os 0.500 0.000 0.500
La 0.000 0.000 0.000
La 0.500 0.500 0.000
Re 0.000 0.500 0.500
```



3.
The following is a DFT calculation (PBE) of crystalline LaRe2Os at its relaxed geometry. Values from VASP.

ΔE to the lowest computed polymorph, eV/atom: 0.1704
Formation energy, eV/atom: 0.51
SG: Cm (8)
Total DFT energy (no corrections), eV per atom: -9.75

Quantum ESPRESSO input file:
```
&SYSTEM
  ibrav = 0, nat = 4, ntyp = 3
/
ATOMIC_SPECIES
Os 190.23 Os.upf
Re 186.21 Re.upf
La 138.91 La.upf
CELL_PARAMETERS angstrom
-2.316 1.721 -3.931
-1.525 -1.143 -4.488
-5.759 -1.715 0.643
ATOMIC_POSITIONS crystal
Os 0.271 0.271 0.163
Re 0.727 0.727 0.845
Re 0.000 0.000 0.996
La 0.502 0.502 0.496
```



4.
The following is a DFT calculation (PBE) of crystalline LaRe2Os2 at its relaxed geometry. Values from VASP.

ΔE to the lowest computed polymorph, eV/atom: 0.1601
Formation energy, eV/atom: 0.23
SG: P4/mbm (127)
Total DFT energy (no corrections), eV per atom: -10.23

Quantum ESPRESSO input file:
```
&SYSTEM
  ibrav = 0, nat = 10, ntyp = 3
/
ATOMIC_SPECIES
La 138.91 La.upf
Os 190.23 Os.upf
Re 186.21 Re.upf
CELL_PARAMETERS angstrom
-7.332 2.221 -1.986
-2.216 -0.535 7.579
0.702 2.668 0.393
ATOMIC_POSITIONS crystal
La 0.000 0.000 0.000
La 0.500 0.500 0.000
Os 0.380 0.880 0.000
Os 0.880 0.620 0.000
Os 0.120 0.380 0.000
Os 0.620 0.120 0.000
Re 0.331 0.169 0.500
Re 0.831 0.331 0.500
Re 0.669 0.831 0.500
Re 0.169 0.669 0.500
```



5.
The following is a DFT calculation (PBE) of crystalline La2ReOs at its relaxed geometry. Values from VASP.

ΔE to the lowest computed polymorph, eV/atom: 0.7836
Formation energy, eV/atom: 0.79
SG: R-3m (166)
Total DFT energy (no corrections), eV per atom: -7.59

Quantum ESPRESSO input file:
```
&SYSTEM
  ibrav = 0, nat = 4, ntyp = 3
/
ATOMIC_SPECIES
La 138.91 La.upf
Os 190.23 Os.upf
Re 186.21 Re.upf
CELL_PARAMETERS angstrom
9.209 -0.023 -0.014
8.577 3.353 -0.014
8.577 1.606 2.944
ATOMIC_POSITIONS crystal
La 0.500 0.500 0.500
La 0.000 0.000 0.000
Os 0.250 0.250 0.250
Re 0.750 0.750 0.750
```



6.
The following is a DFT calculation (PBE) of crystalline LaRe2Os at its relaxed geometry. Values from VASP.

ΔE to the lowest computed polymorph, eV/atom: 0.6031
Formation energy, eV/atom: 0.95
SG: P4/mmm (123)
Total DFT energy (no corrections), eV per atom: -9.32

Quantum ESPRESSO input file:
```
&SYSTEM
  ibrav = 0, nat = 4, ntyp = 3
/
ATOMIC_SPECIES
Re 186.21 Re.upf
La 138.91 La.upf
Os 190.23 Os.upf
CELL_PARAMETERS angstrom
-2.905 1.855 -3.446
1.976 -1.963 -2.723
-2.424 -3.020 0.418
ATOMIC_POSITIONS crystal
Re 0.000 0.000 0.000
Re 0.000 0.500 0.500
La 0.500 0.500 0.000
Os 0.500 0.000 0.500
```



7.
The following is a DFT calculation (PBE) of crystalline LaRe2Os at its relaxed geometry. Values from VASP.

ΔE to the lowest computed polymorph, eV/atom: 0.2878
Formation energy, eV/atom: 0.63
SG: Cmm2 (35)
Total DFT energy (no corrections), eV per atom: -9.63

Quantum ESPRESSO input file:
```
&SYSTEM
  ibrav = 0, nat = 4, ntyp = 3
/
ATOMIC_SPECIES
Os 190.23 Os.upf
Re 186.21 Re.upf
La 138.91 La.upf
CELL_PARAMETERS angstrom
-1.946 -0.077 2.063
0.523 -2.487 -1.260
6.903 -1.812 6.443
ATOMIC_POSITIONS crystal
Os 0.500 0.500 0.775
Re 0.000 0.000 0.000
Re 0.500 0.500 0.221
La 0.000 0.000 0.504
```



8.
The following is a DFT calculation (PBE) of crystalline La2ReOs at its relaxed geometry. Values from VASP.

ΔE to the lowest computed polymorph, eV/atom: 0.5951
Formation energy, eV/atom: 0.60
SG: Immm (71)
Total DFT energy (no corrections), eV per atom: -7.78

Quantum ESPRESSO input file:
```
&SYSTEM
  ibrav = 0, nat = 4, ntyp = 3
/
ATOMIC_SPECIES
La 138.91 La.upf
Re 186.21 Re.upf
Os 190.23 Os.upf
CELL_PARAMETERS angstrom
5.691 0.009 0.007
2.297 5.207 -0.007
-3.309 -3.658 2.839
ATOMIC_POSITIONS crystal
La 0.999 0.999 0.000
La 0.501 0.501 0.000
Re 0.250 0.750 0.500
Os 0.750 0.250 0.500
```



9.
The following is a DFT calculation (PBE) of crystalline LaReOs2 at its relaxed geometry. Values from VASP.

ΔE to the lowest computed polymorph, eV/atom: 0.5766
Formation energy, eV/atom: 0.83
SG: I-4m2 (119)
Total DFT energy (no corrections), eV per atom: -9.13

Quantum ESPRESSO input file:
```
&SYSTEM
  ibrav = 0, nat = 4, ntyp = 3
/
ATOMIC_SPECIES
La 138.91 La.upf
Os 190.23 Os.upf
Re 186.21 Re.upf
CELL_PARAMETERS angstrom
-2.141 0.527 -4.254
0.823 -4.357 -1.817
-2.012 0.902 4.254
ATOMIC_POSITIONS crystal
La 0.750 0.250 0.500
Os 0.250 0.750 0.500
Os 0.000 0.000 0.000
Re 0.500 0.500 0.000
```



10.
The following is a DFT calculation (PBE) of crystalline LaReOs2 at its relaxed geometry. Values from VASP.

ΔE to the lowest computed polymorph, eV/atom: 0.3659
Formation energy, eV/atom: 0.62
SG: R3m (160)
Total DFT energy (no corrections), eV per atom: -9.34

Quantum ESPRESSO input file:
```
&SYSTEM
  ibrav = 0, nat = 4, ntyp = 3
/
ATOMIC_SPECIES
La 138.91 La.upf
Os 190.23 Os.upf
Re 186.21 Re.upf
CELL_PARAMETERS angstrom
10.139 -0.005 -0.003
9.741 2.812 -0.003
9.741 1.376 2.453
ATOMIC_POSITIONS crystal
La 0.749 0.749 0.749
Os 0.988 0.988 0.988
Os 0.250 0.250 0.250
Re 0.513 0.513 0.513
```



11.
The following is a DFT calculation (PBE) of crystalline LaReOs2 at its relaxed geometry. Values from VASP.

ΔE to the lowest computed polymorph, eV/atom: 0.5768
Formation energy, eV/atom: 0.83
SG: Pmmm (47)
Total DFT energy (no corrections), eV per atom: -9.13

Quantum ESPRESSO input file:
```
&SYSTEM
  ibrav = 0, nat = 4, ntyp = 3
/
ATOMIC_SPECIES
Os 190.23 Os.upf
La 138.91 La.upf
Re 186.21 Re.upf
CELL_PARAMETERS angstrom
3.050 0.000 0.000
0.000 4.922 0.000
0.000 0.000 4.754
ATOMIC_POSITIONS crystal
Os 0.500 0.500 0.000
Os 0.000 0.000 0.000
La 0.000 0.500 0.500
Re 0.500 0.000 0.500
```



12.
The following is a DFT calculation (PBE) of crystalline LaRe2Os at its relaxed geometry. Values from VASP.

ΔE to the lowest computed polymorph, eV/atom: 0.5584
Formation energy, eV/atom: 0.90
SG: P4/mmm (123)
Total DFT energy (no corrections), eV per atom: -9.36

Quantum ESPRESSO input file:
```
&SYSTEM
  ibrav = 0, nat = 4, ntyp = 3
/
ATOMIC_SPECIES
La 138.91 La.upf
Re 186.21 Re.upf
Os 190.23 Os.upf
CELL_PARAMETERS angstrom
-3.726 2.837 -1.137
-1.952 -3.588 -2.556
-1.502 -0.969 2.507
ATOMIC_POSITIONS crystal
La 0.500 0.000 0.500
Re 0.500 0.500 0.000
Re 0.000 0.000 0.000
Os 0.000 0.500 0.500
```



13.
The following is a DFT calculation (PBE) of crystalline LaRe2Os at its relaxed geometry. Values from VASP.

ΔE to the lowest computed polymorph, eV/atom: 0.2086
Formation energy, eV/atom: 0.55
SG: R3m (160)
Total DFT energy (no corrections), eV per atom: -9.71

Quantum ESPRESSO input file:
```
&SYSTEM
  ibrav = 0, nat = 4, ntyp = 3
/
ATOMIC_SPECIES
La 138.91 La.upf
Re 186.21 Re.upf
Os 190.23 Os.upf
CELL_PARAMETERS angstrom
-5.346 8.559 -0.005
-7.338 6.838 -1.115
-7.034 7.029 1.719
ATOMIC_POSITIONS crystal
La 0.499 0.499 0.499
Re 0.000 0.000 0.000
Re 0.262 0.262 0.262
Os 0.738 0.738 0.738
```



14.
The following is a DFT calculation (PBE) of crystalline LaReOs at its relaxed geometry. Values from VASP.

ΔE to the lowest computed polymorph, eV/atom: 0.1560
Formation energy, eV/atom: 0.23
SG: I4mm (107)
Total DFT energy (no corrections), eV per atom: -9.31

Quantum ESPRESSO input file:
```
&SYSTEM
  ibrav = 0, nat = 3, ntyp = 3
/
ATOMIC_SPECIES
Re 186.21 Re.upf
Os 190.23 Os.upf
La 138.91 La.upf
CELL_PARAMETERS angstrom
-4.296 -0.056 -5.145
-5.357 -3.250 -2.383
3.518 3.019 4.841
ATOMIC_POSITIONS crystal
Re 0.697 0.697 0.000
Os 0.304 0.304 0.000
La 0.999 0.999 0.000
```



15.
The following is a DFT calculation (PBE) of crystalline LaRe2Os at its relaxed geometry. Values from VASP.

ΔE to the lowest computed polymorph, eV/atom: 0.3808
Formation energy, eV/atom: 0.72
SG: Cmmm (65)
Total DFT energy (no corrections), eV per atom: -9.54

Quantum ESPRESSO input file:
```
&SYSTEM
  ibrav = 0, nat = 4, ntyp = 3
/
ATOMIC_SPECIES
Re 186.21 Re.upf
Os 190.23 Os.upf
La 138.91 La.upf
CELL_PARAMETERS angstrom
2.813 0.003 0.000
-1.241 2.525 0.000
0.000 0.000 9.901
ATOMIC_POSITIONS crystal
Re 0.000 0.000 0.529
Re 0.000 0.000 0.971
Os 0.500 0.500 0.750
La 0.500 0.500 0.250
```